No. 1
## LiFeCuRu (PBE)

Data for a relaxed LiFeCuRu crystal. Values from VASP.

Structure (Quantum ESPRESSO input):
```
&SYSTEM
  ibrav = 0, nat = 4, ntyp = 4
/
ATOMIC_SPECIES
Ru 101.07 Ru.upf
Fe 55.84 Fe.upf
Cu 63.55 Cu.upf
Li 6.94 Li.upf
ATOMIC_POSITIONS angstrom
Ru -1.094 -1.212 -1.860
Fe -2.189 -2.423 -3.720
Cu -3.283 -3.635 -5.580
Li 0.000 0.000 0.000
CELL_PARAMETERS angstrom
-3.405 -0.372 -2.145
0.181 -0.843 -3.949
-1.154 -3.632 -1.346
```

Space-group type: F-43m (216)
Total magnetization, μB/cell: 0.00
Formation energy, meV/atom: 214
DOS(E_F), states/eV/cell: 2.6
Total energy, eV per atom: -5.7228

***

No. 2
## LiFeCuS2 (PBE)

Data for a relaxed LiFeCuS2 crystal. Values from VASP.

Structure (Quantum ESPRESSO input):
```
&SYSTEM
  ibrav = 0, nat = 5, ntyp = 4
/
ATOMIC_SPECIES
S 32.06 S.upf
Fe 55.84 Fe.upf
Li 6.94 Li.upf
Cu 63.55 Cu.upf
ATOMIC_POSITIONS angstrom
S 1.900 -1.097 1.558
S 0.000 0.000 4.737
Fe 1.900 -1.097 3.902
Li 1.900 1.097 0.068
Cu 0.000 0.000 2.310
CELL_PARAMETERS angstrom
1.900 -3.292 0.000
1.900 3.292 0.000
0.000 0.000 6.287
```

Space-group type: P3m1 (156)
Total magnetization, μB/cell: 3.99
DOS(E_F), states/eV/cell: 2.1
Total energy, eV per atom: -5.0816

***

No. 3
## LiFeCuSn (PBE)

Data for a relaxed LiFeCuSn crystal. Values from VASP.

Structure (Quantum ESPRESSO input):
```
&SYSTEM
  ibrav = 0, nat = 4, ntyp = 4
/
ATOMIC_SPECIES
Fe 55.84 Fe.upf
Cu 63.55 Cu.upf
Sn 118.71 Sn.upf
Li 6.94 Li.upf
ATOMIC_POSITIONS angstrom
Fe 0.000 0.000 0.000
Cu 6.533 3.772 2.667
Sn 2.178 1.257 0.889
Li 4.355 2.514 1.778
CELL_PARAMETERS angstrom
4.355 0.000 0.000
2.178 3.772 0.000
2.178 1.257 3.556
```

Space-group type: F-43m (216)
Total magnetization, μB/cell: 2.32
Formation energy, meV/atom: 18
DOS(E_F), states/eV/cell: 4.4
Total energy, eV per atom: -4.6010

***

No. 4
## SrLiFe2Cu (PBE)

Data for a relaxed SrLiFe2Cu crystal. Values from VASP.

Structure (Quantum ESPRESSO input):
```
&SYSTEM
  ibrav = 0, nat = 5, ntyp = 4
/
ATOMIC_SPECIES
Sr 87.62 Sr.upf
Cu 63.55 Cu.upf
Fe 55.84 Fe.upf
Li 6.94 Li.upf
ATOMIC_POSITIONS angstrom
Sr -2.255 -0.936 -1.021
Cu -3.867 0.571 1.157
Fe -0.901 1.993 0.162
Fe -0.712 -0.486 2.017
Li 0.000 0.000 0.000
CELL_PARAMETERS angstrom
-1.802 3.986 0.324
-4.509 -1.872 -2.043
-1.424 -0.971 4.034
```

Space-group type: P4/mmm (123)
Total magnetization, μB/cell: 5.42
Formation energy, meV/atom: 1147
DOS(E_F), states/eV/cell: 7.7
Total energy, eV per atom: -3.7766

***

No. 5
## LiTlFe2Cu (PBE)

Data for a relaxed LiTlFe2Cu crystal. Values from VASP.

Structure (Quantum ESPRESSO input):
```
&SYSTEM
  ibrav = 0, nat = 5, ntyp = 4
/
ATOMIC_SPECIES
Fe 55.84 Fe.upf
Li 6.94 Li.upf
Cu 63.55 Cu.upf
Tl 204.38 Tl.upf
ATOMIC_POSITIONS angstrom
Fe 0.000 0.000 2.284
Fe 2.284 0.000 0.000
Li 2.284 2.457 2.284
Cu 0.000 0.000 0.000
Tl 0.000 2.457 0.000
CELL_PARAMETERS angstrom
4.568 0.000 0.000
0.000 4.914 0.000
0.000 0.000 4.568
```

Space-group type: P4/mmm (123)
Total magnetization, μB/cell: 6.05
Formation energy, meV/atom: 877
DOS(E_F), states/eV/cell: 5.8
Total energy, eV per atom: -4.1831

***

No. 6
## LiFeCu2W (PBE)

Data for a relaxed LiFeCu2W crystal. Values from VASP.

Structure (Quantum ESPRESSO input):
```
&SYSTEM
  ibrav = 0, nat = 5, ntyp = 4
/
ATOMIC_SPECIES
W 183.84 W.upf
Cu 63.55 Cu.upf
Fe 55.84 Fe.upf
Li 6.94 Li.upf
ATOMIC_POSITIONS angstrom
W 0.000 0.000 0.000
Cu 2.403 0.000 0.000
Cu 0.000 0.000 2.403
Fe 0.000 2.229 0.000
Li 2.403 2.229 2.403
CELL_PARAMETERS angstrom
4.807 0.000 0.000
0.000 4.459 0.000
0.000 0.000 4.807
```

Space-group type: P4/mmm (123)
Total magnetization, μB/cell: 1.68
Formation energy, meV/atom: 1281
DOS(E_F), states/eV/cell: 4.6
Total energy, eV per atom: -5.0232

***

No. 7
## LiZnFeCu (PBE)

Data for a relaxed LiZnFeCu crystal. Values from VASP.

Structure (Quantum ESPRESSO input):
```
&SYSTEM
  ibrav = 0, nat = 4, ntyp = 4
/
ATOMIC_SPECIES
Fe 55.84 Fe.upf
Zn 65.41 Zn.upf
Cu 63.55 Cu.upf
Li 6.94 Li.upf
ATOMIC_POSITIONS angstrom
Fe -6.380 -0.647 4.165
Zn 0.000 0.000 0.000
Cu -4.253 -0.431 2.777
Li -2.127 -0.216 1.388
CELL_PARAMETERS angstrom
-2.300 1.761 2.989
-4.152 -0.237 -0.158
-2.053 -2.386 2.723
```

Space-group type: F-43m (216)
Total magnetization, μB/cell: 2.60
Formation energy, meV/atom: 78
DOS(E_F), states/eV/cell: 2.6
Total energy, eV per atom: -3.8591

***

Look up the total magnetization of the third one. 2.32 μB/cell